# 1
A relaxed structure of ScAgRh3, computed with PBE-GGA.

Energy relative to the elements ... 0.82 eV/atom
Symmetry ... Pm-3m, No. 221
DOS(E_F) ... 4.4 states/eV per cell
Distance to the lowest polymorph of the same formula ... 0.000 eV/atom

a b c (Å): 4.6381 4.6381 4.6381
angles (deg): 90.00 90.00 90.00
Closest atoms and distances in Å follow each position.
Atoms (fractional coordinates):
Sc: 0.0000 0.0000 0.0000  6 Rh 2.32
Rh: 0.0000 0.0000 0.5000  2 Sc 2.32
Ag: 0.5000 0.5000 0.5000  12 Rh 3.28
Rh: 0.0000 0.5000 0.0000  2 Sc 2.32
Rh: 0.5000 0.0000 0.0000  2 Sc 2.32



# 2
A relaxed structure of ScAgRh2, computed with PBE-GGA.

Energy relative to the elements ... -0.24 eV/atom
Symmetry ... P4mm, No. 99
DOS(E_F) ... 3.2 states/eV per cell

a b c (Å): 3.4097 3.4097 5.7790
angles (deg): 90.00 90.00 90.00
Closest atoms and distances in Å follow each position.
Atoms (fractional coordinates):
Rh: 0.5000 0.5000 0.2396  4 Rh 2.71, 4 Sc 2.77, 2 Ag 2.78-3.00
Sc: 0.0000 0.0000 0.4740  5 Rh 2.58-2.77
Ag: 0.5000 0.5000 0.7593  6 Rh 2.78-3.00, 4 Sc 2.92
Rh: 0.0000 0.0000 0.0272  1 Sc 2.58, 4 Rh 2.71, 4 Ag 2.87



# 3
A relaxed structure of ScAgRh2, computed with PBE-GGA.

Energy relative to the elements ... -0.44 eV/atom
Symmetry ... P4/mmm, No. 123
DOS(E_F) ... 5.2 states/eV per cell

a b c (Å): 4.0752 4.0769 3.8692
angles (deg): 90.00 90.00 90.00
Closest atoms and distances in Å follow each position.
Atoms (fractional coordinates):
Sc: 0.5000 0.0000 0.5000  8 Rh 2.81, 4 Ag 2.88
Rh: 0.0000 0.0000 0.0000  4 Sc 2.81, 4 Ag 2.81, 4 Rh 2.88
Rh: 0.5000 0.5000 0.0000  4 Ag 2.81, 4 Sc 2.81, 4 Rh 2.88
Ag: 0.0000 0.5000 0.5000  8 Rh 2.81, 4 Sc 2.88



# 4
A relaxed structure of Sc8Ag2Rh, computed with PBE-GGA.

Energy relative to the elements ... -0.29 eV/atom
Symmetry ... C2/m, No. 12
DOS(E_F) ... 8.1 states/eV per cell

a b c (Å): 4.8754 6.4709 8.3791
angles (deg): 108.87 106.91 90.00
Closest atoms and distances in Å follow each position.
Atoms (fractional coordinates):
Sc: 0.8060 0.7114 0.6119  1 Ag 2.73
Ag: 0.1821 0.6994 0.3641  7 Sc 2.73-3.04
Sc: 0.1940 0.2886 0.3881  1 Ag 2.73
Ag: 0.8179 0.3006 0.6359  7 Sc 2.73-3.04
Sc: 0.3391 0.0409 0.6782  1 Rh 2.68, 1 Ag 2.73
Sc: 0.4056 0.5661 0.8113  1 Rh 2.70
Rh: 0.5000 0.0000 0.0000  8 Sc 2.68-2.89
Sc: 0.6609 0.9591 0.3218  1 Rh 2.68, 1 Ag 2.73
Sc: 0.9750 0.2122 0.9499  1 Ag 2.76, 2 Rh 2.89
Sc: 0.0250 0.7878 0.0501  1 Ag 2.76, 2 Rh 2.89
Sc: 0.5944 0.4339 0.1887  1 Rh 2.70



Result set for final energy: -27.13; -24.83; -25.64; -66.88 eV for the cell shown, one per record in the order listed.